1.
Here is a relaxed ScMnZn2 crystal from the Alexandria database. Energies are from PBE-GGA.

Summary:
uncorrected energy: -4.570 eV/atom
formation energy from the elements: -0.06 eV/atom

Cell lengths 4.148, 3.055, 5.502 Å; angles 73.92, 90.00, 90.00 degrees
Site moments in Bohr magnetons follow the coordinates.
Positions (direct):
1 Zn 0.000 0.188 0.998  -0.04
2 Zn 0.500 0.056 0.265  -0.05
3 Sc 0.500 0.799 0.776  -0.25
4 Mn 0.000 0.457 0.461  3.47

=====

2.
Here is a relaxed ScMnZn2 crystal from the Alexandria database. Energies are from PBE-GGA.

Summary:
uncorrected energy: -4.600 eV/atom
formation energy from the elements: -0.09 eV/atom

Cell lengths 3.010, 3.010, 7.161 Å; angles 90.00, 90.00, 90.00 degrees
Site moments in Bohr magnetons follow the coordinates.
Positions (direct):
1 Mn 0.000 0.000 0.478  3.06
2 Zn 0.000 0.000 0.029  0.01
3 Zn 0.500 0.500 0.257  -0.02
4 Sc 0.500 0.500 0.736  -0.32

=====

3.
Here is a relaxed ScMnZn3 crystal from the Alexandria database. Energies are from PBE-GGA.

Summary:
polymorph energy (0 for the lowest one): 723 meV per atom
uncorrected energy: -2.789 eV/atom
formation energy from the elements: 1.08 eV/atom

Cell lengths 5.096, 5.096, 5.096 Å; angles 90.00, 90.00, 90.00 degrees
Site moments in Bohr magnetons follow the coordinates.
Positions (direct):
1 Zn 0.000 0.000 0.500  -0.04
2 Zn 0.000 0.500 0.000  -0.06
3 Zn 0.500 0.000 0.000  -0.06
4 Mn 0.500 0.500 0.500  4.36
5 Sc 0.000 0.000 0.000  -0.35

=====

4.
Here is a relaxed Sc2MnZn crystal from the Alexandria database. Energies are from PBE-GGA.

Summary:
uncorrected energy: -5.750 eV/atom
formation energy from the elements: 0.03 eV/atom

Cell lengths 4.647, 4.647, 4.647 Å; angles 60.00, 60.00, 60.00 degrees
Site moments in Bohr magnetons follow the coordinates.
Positions (direct):
1 Zn 0.750 0.750 0.750  -0.02
2 Sc 0.250 0.250 0.250  -0.17
3 Sc 0.000 0.000 0.000  -0.30
4 Mn 0.500 0.500 0.500  3.17

=====

5.
Here is a relaxed Sc2MnZn crystal from the Alexandria database. Energies are from PBE-GGA.

Summary:
uncorrected energy: -5.344 eV/atom
formation energy from the elements: 0.43 eV/atom

Cell lengths 4.099, 4.099, 10.038 Å; angles 78.22, 78.22, 90.00 degrees
Site moments in Bohr magnetons follow the coordinates.
Positions (direct):
1 Sc 0.126 0.625 0.250  -0.20
2 Sc 0.875 0.874 0.750  -0.19
3 Sc 0.375 0.376 0.750  -0.20
4 Sc 0.624 0.125 0.250  -0.20
5 Mn 0.250 0.750 0.500  3.39
6 Mn 0.500 0.500 0.000  3.39
7 Zn 0.750 0.250 0.500  -0.04
8 Zn 0.000 0.000 0.000  -0.04

=====

6.
Here is a relaxed ScMn2Zn crystal from the Alexandria database. Energies are from PBE-GGA.

Summary:
uncorrected energy: -6.386 eV/atom
formation energy from the elements: 0.10 eV/atom

Cell lengths 3.661, 2.896, 6.485 Å; angles 63.60, 90.00, 90.00 degrees
Site moments in Bohr magnetons follow the coordinates.
Positions (direct):
1 Zn 0.500 0.750 0.750  -0.08
2 Sc 0.500 0.250 0.250  -0.33
3 Mn 0.000 0.479 0.521  2.87
4 Mn 0.000 0.021 0.979  2.87

=====

7.
Here is a relaxed Sc2MnZn crystal from the Alexandria database. Energies are from PBE-GGA.

Summary:
uncorrected energy: -5.701 eV/atom
formation energy from the elements: 0.08 eV/atom

Cell lengths 9.057, 9.057, 9.057 Å; angles 20.16, 20.16, 20.16 degrees
Site moments in Bohr magnetons follow the coordinates.
Positions (direct):
1 Sc 0.498 0.498 0.498  -0.21
2 Sc 0.002 0.002 0.002  -0.21
3 Mn 0.750 0.750 0.750  3.16
4 Zn 0.250 0.250 0.250  0.02

=====

8.
Here is a relaxed Sc2MnZn crystal from the Alexandria database. Energies are from PBE-GGA.

Summary:
uncorrected energy: -5.801 eV/atom
formation energy from the elements: -0.02 eV/atom

Cell lengths 5.227, 5.227, 5.227 Å; angles 133.98, 133.98, 67.12 degrees
Site moments in Bohr magnetons follow the coordinates.
Positions (direct):
1 Sc 0.250 0.750 0.500  -0.47
2 Sc 0.000 0.000 0.000  -0.45
3 Zn 0.500 0.500 0.000  -0.06
4 Mn 0.750 0.250 0.500  3.01

=====

Question: Look up the formation energy from the elements of the seventh one.
Answer: 0.08 eV/atom

=====

Question: Which value of uncorrected energy does entry 4 give?
Answer: -5.750 eV/atom

=====

Question: Which value of uncorrected energy does entry 2 give?
Answer: -4.600 eV/atom

=====

Question: The lowest uncorrected energy belongs to which entry?
Answer: ScMn2Zn